(1)
! PBE POsPb, optimized geometry; values from VASP
&SYSTEM
  ibrav = 0, nat = 3, ntyp = 3
/
ATOMIC_SPECIES
Os 190.23 Os.upf
Pb 207.20 Pb.upf
P 30.97 P.upf
ATOMIC_POSITIONS angstrom
Os 1.561 1.561 1.561
Pb 3.121 3.121 3.121
P 0.000 0.000 0.000
CELL_PARAMETERS angstrom
0.000 3.121 3.121
3.121 0.000 3.121
3.121 3.121 0.000
! Total energy in Ry per atom: -0.448
! Total magnetization in μB per cell: 0.00
! ΔE_f in eV/atom: 0.6815
! Symmetry: F-43m
! DOS(E_F) in states/eV per cell: 2.40
! Mass density in Mg/m³: 11.7

---

(2)
! PBE TaRe2Mo, optimized geometry; values from VASP
&SYSTEM
  ibrav = 0, nat = 8, ntyp = 3
/
ATOMIC_SPECIES
Mo 95.94 Mo.upf
Ta 180.95 Ta.upf
Re 186.21 Re.upf
ATOMIC_POSITIONS angstrom
Mo 3.620 3.620 0.000
Ta 7.241 3.620 1.321
Re 5.345 1.810 0.661
Re 5.431 5.516 1.982
Mo 3.620 7.241 1.321
Re 1.896 5.431 0.661
Re 9.051 8.966 1.982
Ta 0.000 0.000 0.000
CELL_PARAMETERS angstrom
7.241 0.000 0.000
0.000 7.241 0.000
3.620 3.620 2.642
! Total energy in Ry per atom: -0.818
! Total magnetization in μB per cell: 0.00
! ΔE_f in eV/atom: 0.7638
! Symmetry: I-42d
! DOS(E_F) in states/eV per cell: 7.26
! Mass density in Mg/m³: 15.6
! Distance to the lowest polymorph of the same formula in meV per atom: 916